1.
Rb2ZrF | PBE | optimized geometry

Calculated values
Total magnetic moment in μB/f.u.: 3.11
DOS(E_F) in states/eV per atom: 0.5666
Uncorrected energy in eV/atom: -3.288

a = 8.2311 Å, b = 8.2311 Å, c = 7.7245 Å
α = 57.81°, β = 57.81°, γ = 90.00°
Last column: nearest neighbours and their distance in Å.
Element x y z (fractional)
F 0.5000 0.5000 0.0000  4 Rb 2.60
Rb 0.3750 0.5085 0.7500  2 F 2.60
Rb 0.2585 0.6250 0.2500  2 F 2.60
Zr 0.7500 0.2500 0.5000  8 Rb 3.98-4.43
F 0.2500 0.7500 0.5000  4 Rb 2.60
Rb 0.8750 0.7415 0.7500  2 F 2.60
Rb 0.4915 0.1250 0.2500  2 F 2.60
Zr 0.0000 0.0000 0.0000  8 Rb 3.98-4.43

2.
Na2MnTl3Br6 | PBE | optimized geometry

Calculated values
Total magnetic moment in μB/f.u.: 4.23
DOS(E_F) in states/eV per atom: 0.2682
Uncorrected energy in eV/atom: -3.338

a = 7.1990 Å, b = 7.1990 Å, c = 8.6593 Å
α = 98.10°, β = 98.10°, γ = 120.48°
Last column: nearest neighbours and their distance in Å.
Element x y z (fractional)
Mn 0.0000 0.0000 0.0000  6 Br 2.69-2.76
Na 0.6636 0.3364 0.0000  6 Br 2.93-3.00
Br 0.3698 0.0659 0.1874  1 Mn 2.69, 2 Na 2.93-2.99
Br 0.6302 0.9341 0.8126  1 Mn 2.69, 2 Na 2.93-2.99
Tl 0.1852 0.8148 0.5000  6 Br 3.51-3.53, 2 Tl 3.92
Br 0.9341 0.6302 0.8126  1 Mn 2.69, 2 Na 2.93-2.99
Na 0.3364 0.6636 0.0000  6 Br 2.93-3.00
Br 0.7652 0.7652 0.2035  1 Mn 2.76, 2 Na 3.00
Tl 0.8148 0.1852 0.5000  6 Br 3.51-3.53, 2 Tl 3.92
Tl 0.5000 0.5000 0.5000  6 Br 3.45-3.60
Br 0.2348 0.2348 0.7965  1 Mn 2.76, 2 Na 3.00
Br 0.0659 0.3698 0.1874  1 Mn 2.69, 2 Na 2.93-2.99

3.
SrLi3 | PBE | optimized geometry

Calculated values
Total magnetic moment in μB/f.u.: 0.00
DOS(E_F) in states/eV per atom: 0.5953
ΔE_f in eV per atom: 0.11

a = 3.7699 Å, b = 5.2974 Å, c = 6.0546 Å
α = 90.00°, β = 90.00°, γ = 90.00°
Last column: nearest neighbours and their distance in Å.
Element x y z (fractional)
Li 0.0000 0.0000 0.9414  6 Li 2.99-3.32
Li 0.5000 0.5000 0.8326  6 Li 3.12-3.32
Li 0.5000 0.0000 0.5590  4 Li 2.99-3.12
Sr 0.0000 0.5000 0.3337  10 Li 3.53-3.57, 2 Sr 3.77

> DOS(E_F) of number 2 (Na2MnTl3Br6)?

0.2682 states/eV per atom

> The lowest DOS(E_F) belongs to which entry?

Na2MnTl3Br6

> Number 3 is which compound?

SrLi3